Here is TlInBi2O6 after structural relaxation from Alexandria. Energies are from PBE-GGA.

Lattice parameters (Å, degrees): 5.9745 5.9745 15.1086 90.00 90.00 120.00
With the nearest neighbours (Å) after each atom.
Space group R3 (No. 146, hexagonal axes)
Asymmetric unit:
Tl  0.0000  0.0000  0.0000 [3 per cell]  6 O 2.23-2.44
In  0.0000  0.0000  0.4939 [3 per cell]  6 O 2.17-2.29
Bi  0.0000  0.0000  0.2777 [3 per cell]  6 O 2.31-2.51
Bi  0.0000  0.0000  0.7815 [3 per cell]  6 O 2.31-2.51
O  0.0731  0.7101  0.5512 [9 per cell]  1 In 2.17, 1 Bi 2.31
O  0.0783  0.3811  0.0533 [9 per cell]  1 Tl 2.23, 1 In 2.29, 1 Bi 2.31

As for the total magnetization: 0.0 μB per formula unit. The value obtained for the uncorrected formation energy is -1.15 eV per atom. Its crystal system is trigonal.

Here is Cs3Pr2HoSe6 after structural relaxation from Alexandria. Energies are from PBE-GGA.

Lattice parameters (Å, degrees): 7.5761 13.1223 8.7758 90.00 106.73 90.00
With the nearest neighbours (Å) after each atom.
Space group C2/m (No. 12)
Asymmetric unit:
Cs  0.0000  0.0000  0.0000 [2 per cell]  6 Se 3.61-3.69
Cs  0.0000  0.3312  0.0000 [4 per cell]  6 Se 3.61-3.67
Pr  0.0000  0.1665  0.5000 [4 per cell]  6 Se 3.02
Ho  0.0000  0.5000  0.5000 [2 per cell]  6 Se 2.92
Se  0.2244  0.3386  0.6889 [8 per cell]  1 Ho 2.92, 2 Pr 3.02
Se  0.2406  0.0000  0.6899 [4 per cell]  1 Ho 2.92, 2 Pr 3.02

As for the total magnetization: 0.0 μB per formula unit. The value obtained for the uncorrected formation energy is -1.72 eV per atom. Its crystal system is monoclinic.

Here is ReAg3Ru after structural relaxation from Alexandria. Energies are from PBE-GGA.

Lattice parameters (Å, degrees): 4.9733 4.9733 4.9733 90.00 90.00 90.00
With the nearest neighbours (Å) after each atom.
Space group Pm-3m (No. 221)
Asymmetric unit:
Re  0.0000  0.0000  0.0000 [1 per cell]  12 Ag 3.52
Ag  0.0000  0.5000  0.5000 [3 per cell]  2 Ru 2.49
Ru  0.5000  0.5000  0.5000 [1 per cell]  6 Ag 2.49

As for the total magnetization: 6.3 μB per formula unit. The energy relative to the elements is 2.220 eV/atom. The calculation puts the energy above the most stable polymorph in this dataset at 0.000 eV/atom. Its crystal system is cubic.

Here is RbBe2GaNi after structural relaxation from Alexandria. Energies are from PBE-GGA.

Lattice parameters (Å, degrees): 4.4831 4.4831 4.5813 90.00 90.00 90.00
With the nearest neighbours (Å) after each atom.
Space group P4/mmm (No. 123)
Asymmetric unit:
Rb  0.0000  0.0000  0.0000 [1 per cell]  4 Ga 3.17, 8 Be 3.20
Be  0.0000  0.5000  0.5000 [2 per cell]  2 Ni 2.24
Ga  0.5000  0.5000  0.0000 [1 per cell]  2 Ni 2.29
Ni  0.5000  0.5000  0.5000 [1 per cell]  4 Be 2.24, 2 Ga 2.29

As for the total magnetization: 0.0 μB per formula unit. The energy relative to the elements is 0.366 eV/atom. Its crystal system is tetragonal.

Here is UPd6Pt2 after structural relaxation from Alexandria. Energies are from PBE-GGA.

Lattice parameters (Å, degrees): 12.7495 9.6216 4.9611 90.00 99.74 90.00
With the nearest neighbours (Å) after each atom.
Space group C2/c (No. 15)
Asymmetric unit:
U  0.0000  0.1585  0.2500 [4 per cell]  6 Pd 2.60-2.90, 2 Pt 2.75
Pd  0.0584  0.3787  0.5416 [8 per cell]  1 U 2.60, 7 Pd 2.74-2.86, 1 Pt 2.81
Pd  0.1097  0.1172  0.8067 [8 per cell]  3 Pt 2.73-2.86, 4 Pd 2.76-2.88, 3 U 2.83-2.99
Pd  0.1687  0.3748  0.0860 [8 per cell]  6 Pd 2.75-2.88, 4 Pt 2.75-2.88
Pt  0.2177  0.1288  0.3603 [8 per cell]  8 Pd 2.73-2.88, 1 U 2.75, 1 Pt 2.77

As for the total magnetization: 0.0 μB per formula unit. The energy relative to the elements is -0.281 eV/atom. The calculation puts the energy above the most stable polymorph in this dataset at 0.123 eV/atom. Its crystal system is monoclinic.

Here is HfTe3Os after structural relaxation from Alexandria. Energies are from PBE-GGA.

Lattice parameters (Å, degrees): 5.1750 5.1750 5.1750 90.00 90.00 90.00
With the nearest neighbours (Å) after each atom.
Space group Pm-3m (No. 221)
Asymmetric unit:
Hf  0.0000  0.0000  0.0000 [1 per cell]  12 Te 3.66
Te  0.0000  0.5000  0.5000 [3 per cell]  2 Os 2.59
Os  0.5000  0.5000  0.5000 [1 per cell]  6 Te 2.59

As for the total magnetization: 0.0 μB per formula unit. The value obtained for the uncorrected formation energy is 0.85 eV per atom. The calculation puts the energy above the most stable polymorph in this dataset at 0.000 eV/atom. Its crystal system is cubic.

Here is TlMoP2 after structural relaxation from Alexandria. Energies are from PBE-GGA.

Lattice parameters (Å, degrees): 3.4073 4.5156 5.3077 90.00 100.46 90.00
With the nearest neighbours (Å) after each atom.
Space group P2/m (No. 10)
Asymmetric unit:
Tl  0.0000  0.0000  0.0000 [1 per cell]  2 Mo 2.88
Mo  0.5000  0.0000  0.5000 [1 per cell]  4 P 2.51
P  0.2913  0.5000  0.6371 [2 per cell]  2 P 2.21-2.24

As for the total magnetization: 0.0 μB per formula unit. The energy relative to the elements is 0.332 eV/atom. The calculation puts the energy above the most stable polymorph in this dataset at 0.420 eV/atom. Its crystal system is monoclinic.

Here is Ho4Zn3Au after structural relaxation from Alexandria. Energies are from PBE-GGA.

Lattice parameters (Å, degrees): 3.6890 4.5301 11.1353 90.00 90.00 90.00
With the nearest neighbours (Å) after each atom.
Space group Pmm2 (No. 25)
Asymmetric unit:
Ho  0.0000  0.0000  0.0000 [1 per cell]  5 Zn 3.02-3.12, 2 Au 3.10
Ho  0.0000  0.5000  0.2938 [1 per cell]  4 Au 3.02, 3 Zn 3.11-3.13
Ho  0.5000  0.0000  0.4978 [1 per cell]  6 Zn 3.05-3.08, 1 Au 3.05
Ho  0.5000  0.5000  0.7979 [1 per cell]  7 Zn 3.02-3.09
Zn  0.0000  0.0000  0.7199 [1 per cell]  2 Zn 2.78, 6 Ho 3.05-3.08
Zn  0.0000  0.5000  0.5753 [1 per cell]  2 Zn 2.78, 6 Ho 3.05-3.09
Zn  0.5000  0.5000  0.0694 [1 per cell]  2 Au 2.85, 7 Ho 3.02-3.11
Au  0.5000  0.0000  0.2243 [1 per cell]  2 Zn 2.85, 7 Ho 3.02-3.10

As for the total magnetization: 0.0 μB per formula unit. The energy relative to the elements is -0.438 eV/atom. The calculation puts the energy above the most stable polymorph in this dataset at 0.045 eV/atom. Its crystal system is orthorhombic.